# V2NiAsAu

A relaxed V2NiAsAu crystal (PBE-GGA, Alexandria).

a b c (Å): 4.771 4.771 4.880
angles (deg): 90.00 90.00 90.00
Space group P4/mmm (No. 123)
Unique sites:
V 0.000 0.500 0.000
Ni 0.000 0.000 0.500
As 0.500 0.500 0.500
Au 0.500 0.500 0.000

Properties
E in eV for the cell shown: -23.20
Calculated formation energy in kcal/mol of atoms: 40.32
Density in Mg/m³: 6.466